Record 1
A relaxed DyTm2Si6 crystal. Source: Alexandria, functional GGA-PBE.

Lattice parameters (Å, degrees): 7.0988 7.0988 3.8583 90.00 90.00 120.00
Last column: nearest neighbours and their distance in Å.
Space group P6/mmm (No. 191)
Inequivalent atoms, fractional coordinates:
Dy: 0.0000 0.0000 0.0000 [1 per cell]  12 Si 3.06
Tm: 0.3333 0.6667 0.0000 [2 per cell]  12 Si 3.05
Si: 0.0000 0.3342 0.5000 [6 per cell]  3 Si 2.35-2.37

## Properties
total DFT energy (no corrections): -50.506 eV/cell
energy relative to the elements, uncorrected: -0.49 eV per atom
M_tot: 0.0 μB/f.u.

Record 2
A relaxed K2H2PdCl4 crystal. Source: Alexandria, functional GGA-PBE.

Lattice parameters (Å, degrees): 7.0310 7.0310 8.5926 90.00 90.00 90.00
Last column: nearest neighbours and their distance in Å.
Space group I4/mmm (No. 139)
Inequivalent atoms, fractional coordinates:
K: 0.0000 0.5000 0.2500 [4 per cell]  8 Cl 3.29, 4 H 3.55
H: 0.0000 0.0000 0.1939 [4 per cell]  1 Pd 1.67
Pd: 0.0000 0.0000 0.0000 [2 per cell]  2 H 1.67
Cl: 0.2368 0.2368 0.0000 [8 per cell]  1 Pd 2.35

## Properties
total DFT energy (no corrections): -58.097 eV/cell
M_tot: 0.0 μB/f.u.

Record 3
A relaxed Si2SnRhO crystal. Source: Alexandria, functional GGA-PBE.

Lattice parameters (Å, degrees): 3.3967 2.8929 8.0407 90.00 91.46 90.00
Last column: nearest neighbours and their distance in Å.
Space group Pm (No. 6)
Inequivalent atoms, fractional coordinates:
Si: 0.0000 0.0000 0.0000 [1 per cell]  1 Si 2.41, 4 Rh 2.49-2.52
Si: 0.1819 0.0000 0.2918 [1 per cell]  2 O 1.71
Sn: 0.9749 0.0000 0.6211 [1 per cell]  2 Si 2.76-3.05, 2 Sn 2.89, 4 Rh 2.92-2.96
Rh: 0.4992 0.5000 0.8588 [1 per cell]  4 Si 2.49-2.52
O: 0.4488 0.5000 0.3087 [1 per cell]  2 Si 1.71

## Properties
total DFT energy (no corrections): -30.734 eV/cell
energy relative to the elements, uncorrected: -0.72 eV per atom
M_tot: 0.0 μB/f.u.
E above lowest polymorph: 71.7 meV/atom